# 1
This record from the Alexandria database describes LiCuPO4 after structural relaxation. The functional is PBE.

It has space group Pnma (No. 62), with a = 10.0033 Å, b = 6.0962 Å, c = 4.7494 Å, α = 90.00°, β = 90.00° and γ = 90.00°. The distinct sites, in fractional coordinates, are Li at (0.0000, 0.0000, 0.0000), Cu at (0.2165, 0.2500, 0.4616), P at (0.0961, 0.7500, 0.4227), O at (0.0506, 0.2500, 0.6922), O at (0.1012, 0.7500, 0.7476) and O at (0.1654, 0.5468, 0.2835).

For the formation energy from raw total energies, the calculation gives -1.781 eV per atom.

=====

# 2
This record from the Alexandria database describes CrAsC3 after structural relaxation. The functional is PBE.

It has space group Pm-3m (No. 221), with a = 3.8625 Å, b = 3.8625 Å, c = 3.8625 Å, α = 90.00°, β = 90.00° and γ = 90.00°. The distinct sites, in fractional coordinates, are Cr at (0.0000, 0.0000, 0.0000), As at (0.5000, 0.5000, 0.5000) and C at (0.0000, 0.0000, 0.5000).

=====

# 3
This record from the Alexandria database describes ScCr2Rh after structural relaxation. The functional is PBE.

It has space group Cmmm (No. 65), with a = 4.9144 Å, b = 8.7285 Å, c = 2.6874 Å, α = 90.00°, β = 90.00° and γ = 90.00°. The distinct sites, in fractional coordinates, are Sc at (0.0000, 0.0000, 0.0000), Cr at (0.2500, 0.2500, 0.5000) and Rh at (0.0000, 0.5000, 0.0000).

=====

Number 1: magnetization 4.1 μB/cell, VASP energy -174.882 eV/cell. Number 2: magnetization 0.0 μB/cell, VASP energy -31.988 eV/cell. Number 3: magnetization 0.0 μB/cell, VASP energy -64.250 eV/cell.